[1]
This record from the Alexandria database describes a relaxed structure of BaYHfF2. The functional is PBE-GGA.

Cell: 4.7963 4.7963 8.0233 Å, 90.00 90.00 90.00°
With the nearest neighbours (Å) after each atom.
Atoms (fractional coordinates):
1 Ba 0.0000 0.0000 0.0000  4 F 2.40
2 Y 0.5000 0.5000 0.5000  4 Hf 3.39
3 Hf 0.0000 0.0000 0.5000  4 Y 3.39
4 F 0.0000 0.5000 0.0000  2 Ba 2.40
5 F 0.5000 0.0000 0.0000  2 Ba 2.40

Calculated values
Symmetry ... No. 123
Energy ... -27.0 eV per formula unit

[2]
This record from the Alexandria database describes a relaxed structure of Ho6P2Se3Cl. The functional is PBE-GGA.

Cell: 8.9883 8.9883 8.0782 Å, 102.58 102.58 25.77°
With the nearest neighbours (Å) after each atom.
Atoms (fractional coordinates):
1 Ho 0.0100 0.0100 0.2691  1 P 2.69, 3 Se 2.77-2.90, 2 Cl 2.93
2 Ho 0.3245 0.3245 0.8897  2 P 2.72, 3 Se 2.83-2.95, 1 Cl 3.00
3 Ho 0.3278 0.3278 0.4282  3 P 2.74-2.76, 3 Se 2.94-2.98
4 Ho 0.6722 0.6722 0.5718  3 P 2.74-2.76, 3 Se 2.94-2.98
5 Ho 0.6755 0.6755 0.1103  2 P 2.72, 3 Se 2.83-2.95, 1 Cl 3.00
6 Ho 0.9900 0.9900 0.7309  1 P 2.69, 3 Se 2.77-2.90, 2 Cl 2.93
7 P 0.1673 0.1673 0.3341  6 Ho 2.69-2.76
8 P 0.8327 0.8327 0.6659  6 Ho 2.69-2.76
9 Se 0.1595 0.1595 0.8368  6 Ho 2.83-2.98
10 Se 0.5000 0.5000 0.5000  6 Ho 2.77-2.94
11 Se 0.8405 0.8405 0.1632  6 Ho 2.83-2.98
12 Cl 0.5000 0.5000 0.0000  6 Ho 2.93-3.00

Calculated values
Symmetry ... No. 12
Energy ... -70.5 eV per formula unit

[3]
This record from the Alexandria database describes a relaxed structure of BaCaHg2. The functional is PBE-GGA.

Cell: 7.7930 7.7930 7.7930 Å, 90.00 90.00 90.00°
With the nearest neighbours (Å) after each atom.
Atoms (fractional coordinates):
1 Ba 0.0000 0.0000 0.0000  4 Ca 3.37, 4 Hg 3.37
2 Ba 0.0000 0.5000 0.5000  4 Ca 3.37, 4 Hg 3.37
3 Ba 0.5000 0.0000 0.5000  4 Ca 3.37, 4 Hg 3.37
4 Ba 0.5000 0.5000 0.0000  4 Ca 3.37, 4 Hg 3.37
5 Ca 0.2500 0.2500 0.7500  4 Hg 3.37, 4 Ba 3.37
6 Ca 0.2500 0.7500 0.2500  4 Hg 3.37, 4 Ba 3.37
7 Ca 0.7500 0.2500 0.2500  4 Hg 3.37, 4 Ba 3.37
8 Ca 0.7500 0.7500 0.7500  4 Hg 3.37, 4 Ba 3.37
9 Hg 0.0000 0.0000 0.5000  4 Hg 3.37, 4 Ca 3.37
10 Hg 0.0000 0.5000 0.0000  4 Hg 3.37, 4 Ca 3.37
11 Hg 0.2500 0.2500 0.2500  4 Hg 3.37, 4 Ba 3.37
12 Hg 0.2500 0.7500 0.7500  4 Hg 3.37, 4 Ba 3.37
13 Hg 0.5000 0.0000 0.0000  4 Hg 3.37, 4 Ca 3.37
14 Hg 0.5000 0.5000 0.5000  4 Hg 3.37, 4 Ca 3.37
15 Hg 0.7500 0.2500 0.7500  4 Hg 3.37, 4 Ba 3.37
16 Hg 0.7500 0.7500 0.2500  4 Hg 3.37, 4 Ba 3.37

Calculated values
Formation energy from the elements ... -0.273 eV/atom
Symmetry ... No. 216
Energy ... -5.6 eV per formula unit

[4]
This record from the Alexandria database describes a relaxed structure of CaB2PdSe. The functional is PBE-GGA.

Cell: 4.7825 4.7825 4.9808 Å, 90.00 90.00 90.00°
With the nearest neighbours (Å) after each atom.
Atoms (fractional coordinates):
1 Ca 0.0000 0.0000 0.0000  4 B 2.39, 2 Pd 2.49
2 B 0.0000 0.5000 0.0000  2 Ca 2.39
3 B 0.5000 0.0000 0.0000  2 Ca 2.39
4 Pd 0.0000 0.0000 0.5000  2 Ca 2.49
5 Se 0.5000 0.5000 0.5000  4 Pd 3.38, 8 B 3.45

Calculated values
Symmetry ... No. 123
Energy ... -14.2 eV per formula unit

[5]
This record from the Alexandria database describes a relaxed structure of Y3NbO7. The functional is PBE-GGA.

Cell: 6.5292 6.5292 7.5002 Å, 90.00 90.00 108.50°
With the nearest neighbours (Å) after each atom.
Atoms (fractional coordinates):
1 Y 0.0362 0.4997 0.2607  7 O 2.23-2.46
2 Y 0.0406 0.0406 0.0000  6 O 2.33-2.41
3 Y 0.4997 0.0362 0.7393  7 O 2.23-2.46
4 Y 0.5003 0.9638 0.2393  7 O 2.23-2.46
5 Y 0.9594 0.9594 0.5000  6 O 2.33-2.41
6 Y 0.9638 0.5003 0.7607  7 O 2.23-2.46
7 Nb 0.4971 0.4971 0.5000  6 O 1.93-2.08
8 Nb 0.5029 0.5029 0.0000  6 O 1.93-2.08
9 O 0.1287 0.8713 0.7500  4 Y 2.32-2.34
10 O 0.1403 0.8597 0.2500  4 Y 2.23-2.41
11 O 0.1690 0.4162 0.9781  1 Nb 2.08, 1 Y 2.29
12 O 0.1952 0.4531 0.5484  1 Nb 1.93
13 O 0.4162 0.1690 0.0219  1 Nb 2.08, 1 Y 2.29
14 O 0.4291 0.5709 0.2500  2 Nb 2.02
15 O 0.4531 0.1952 0.4516  1 Nb 1.93
16 O 0.5469 0.8048 0.9516  1 Nb 1.93
17 O 0.5709 0.4291 0.7500  2 Nb 2.02
18 O 0.5838 0.8310 0.5219  1 Nb 2.08, 1 Y 2.29
19 O 0.8048 0.5469 0.0484  1 Nb 1.93
20 O 0.8310 0.5838 0.4781  1 Nb 2.08, 1 Y 2.29
21 O 0.8597 0.1403 0.7500  4 Y 2.23-2.41
22 O 0.8713 0.1287 0.2500  4 Y 2.32-2.34

Calculated values
Symmetry ... No. 20
Energy ... -100.3 eV per formula unit

[6]
This record from the Alexandria database describes a relaxed structure of NpAlTeO6. The functional is PBE-GGA.

Cell: 5.3150 5.3150 9.3071 Å, 90.00 90.00 120.00°
With the nearest neighbours (Å) after each atom.
Atoms (fractional coordinates):
1 Np 0.3333 0.6667 0.2500  6 O 2.14
2 Np 0.6667 0.3333 0.7500  6 O 2.14
3 Al 0.3333 0.6667 0.7500  6 O 1.95
4 Al 0.6667 0.3333 0.2500  6 O 1.95
5 Te 0.0000 0.0000 0.0000  6 O 2.23
6 Te 0.0000 0.0000 0.5000  6 O 2.23
7 O 0.0279 0.3600 0.6342  1 Al 1.95, 1 Np 2.14
8 O 0.0279 0.6679 0.8658  1 Al 1.95, 1 Np 2.14
9 O 0.3321 0.3600 0.8658  1 Al 1.95, 1 Np 2.14
10 O 0.3321 0.9721 0.6342  1 Al 1.95, 1 Np 2.14
11 O 0.3600 0.0279 0.1342  1 Al 1.95, 1 Np 2.14
12 O 0.3600 0.3321 0.3658  1 Al 1.95, 1 Np 2.14
13 O 0.6400 0.6679 0.6342  1 Al 1.95, 1 Np 2.14
14 O 0.6400 0.9721 0.8658  1 Al 1.95, 1 Np 2.14
15 O 0.6679 0.0279 0.3658  1 Al 1.95, 1 Np 2.14
16 O 0.6679 0.6400 0.1342  1 Al 1.95, 1 Np 2.14
17 O 0.9721 0.3321 0.1342  1 Al 1.95, 1 Np 2.14
18 O 0.9721 0.6400 0.3658  1 Al 1.95, 1 Np 2.14

Calculated values
Symmetry ... No. 163
Energy ... -68.7 eV per formula unit

[7]
This record from the Alexandria database describes a relaxed structure of TlAgTe2. The functional is PBE-GGA.

Cell: 4.5293 4.7614 5.2521 Å, 90.00 90.00 90.00°
With the nearest neighbours (Å) after each atom.
Atoms (fractional coordinates):
1 Tl 0.0000 0.0000 0.0000  8 Te 3.29-3.54, 4 Ag 3.47
2 Ag 0.5000 0.0000 0.5000  8 Te 3.29-3.54, 4 Tl 3.47
3 Te 0.0000 0.5000 0.5000  4 Ag 3.29, 4 Te 3.47, 4 Tl 3.54
4 Te 0.5000 0.5000 0.0000  4 Tl 3.29, 4 Te 3.47, 4 Ag 3.54

Calculated values
Symmetry ... No. 47
Energy ... -11.0 eV per formula unit

[8]
This record from the Alexandria database describes a relaxed structure of DyIr4Pb. The functional is PBE-GGA.

Cell: 5.3766 5.3766 5.3766 Å, 60.00 60.00 60.00°
With the nearest neighbours (Å) after each atom.
Atoms (fractional coordinates):
1 Dy 0.0000 0.0000 0.0000  12 Ir 3.15, 4 Pb 3.29
2 Ir 0.1257 0.6248 0.6248  6 Ir 2.68-2.69
3 Ir 0.6248 0.1257 0.6248  6 Ir 2.68-2.69
4 Ir 0.6248 0.6248 0.1257  6 Ir 2.68-2.69
5 Ir 0.6248 0.6248 0.6248  6 Ir 2.68-2.69
6 Pb 0.2500 0.2500 0.2500  12 Ir 3.15, 4 Dy 3.29

Calculated values
Formation energy from the elements ... -0.269 eV/atom
Symmetry ... No. 216
Energy ... -45.4 eV per formula unit

[9]
This record from the Alexandria database describes a relaxed structure of BaFe2Br8. The functional is PBE-GGA.

Cell: 6.9370 6.9370 10.1962 Å, 94.87 94.87 71.13°
With the nearest neighbours (Å) after each atom.
Atoms (fractional coordinates):
1 Ba 0.0000 0.0000 0.0000  6 Br 3.32-3.37, 2 Fe 3.56
2 Fe 0.1669 0.1669 0.7222  4 Br 2.28-2.42
3 Fe 0.8331 0.8331 0.2778  4 Br 2.28-2.42
4 Br 0.1932 0.7285 0.2603  1 Fe 2.38
5 Br 0.2697 0.2697 0.5410  1 Fe 2.28
6 Br 0.2715 0.8068 0.7397  1 Fe 2.38
7 Br 0.2867 0.2867 0.9333  1 Fe 2.42
8 Br 0.7133 0.7133 0.0667  1 Fe 2.42
9 Br 0.7285 0.1932 0.2603  1 Fe 2.38
10 Br 0.7303 0.7303 0.4590  1 Fe 2.28
11 Br 0.8068 0.2715 0.7397  1 Fe 2.38

Calculated values
Symmetry ... No. 12
Energy ... -42.2 eV per formula unit

[10]
This record from the Alexandria database describes a relaxed structure of Ta2BeP. The functional is PBE-GGA.

Cell: 4.8753 3.4579 6.8750 Å, 90.00 110.45 90.00°
With the nearest neighbours (Å) after each atom.
Atoms (fractional coordinates):
1 Ta 0.2021 0.2500 0.4302  4 Be 2.52-2.68, 3 P 2.56-2.60
2 Ta 0.2077 0.2500 0.9243  3 Be 2.51-2.65, 4 P 2.56-2.61
3 Ta 0.7923 0.7500 0.0757  3 Be 2.51-2.65, 4 P 2.56-2.61
4 Ta 0.7979 0.7500 0.5698  4 Be 2.52-2.68, 3 P 2.56-2.60
5 Be 0.3541 0.7500 0.7145  2 P 2.16
6 Be 0.6459 0.2500 0.2855  2 P 2.16
7 P 0.3630 0.7500 0.2172  2 Be 2.16
8 P 0.6370 0.2500 0.7828  2 Be 2.16

Calculated values
Formation energy from the elements ... -0.649 eV/atom
Symmetry ... No. 11
Energy ... -35.4 eV per formula unit

Question: Look up the energy of the sixth one.
Answer: -68.7 eV per formula unit

Repeat the fourth record exactly.
This record from the Alexandria database describes a relaxed structure of CaB2PdSe. The functional is PBE-GGA.

Cell: 4.7825 4.7825 4.9808 Å, 90.00 90.00 90.00°
With the nearest neighbours (Å) after each atom.
Atoms (fractional coordinates):
1 Ca 0.0000 0.0000 0.0000  4 B 2.39, 2 Pd 2.49
2 B 0.0000 0.5000 0.0000  2 Ca 2.39
3 B 0.5000 0.0000 0.0000  2 Ca 2.39
4 Pd 0.0000 0.0000 0.5000  2 Ca 2.49
5 Se 0.5000 0.5000 0.5000  4 Pd 3.38, 8 B 3.45

Calculated values
Symmetry ... No. 123
Energy ... -14.2 eV per formula unit